1.
5
Lattice="4.556 0.000 0.000 0.000 4.556 0.000 0.000 0.000 4.124" Properties=species:S:1:pos:R:3 comment="Hf2GeBPd | Alexandria via LeMat-Bulk | GGA-PBE | optimized geometry" volume_a3_per_fu=86 dos_ef_per_ev_cell=2.8 final_energy_ev_per_atom=-7.61 formation_energy_ev_per_atom=-0.3319 pbc="T T T"
Hf 0.000 2.278 0.000
Hf 2.278 0.000 0.000
Ge 0.000 0.000 2.062
B 2.278 2.278 0.000
Pd 2.278 2.278 2.062



2.
20
Lattice="9.356 0.000 0.000 0.000 9.356 0.000 0.000 0.000 3.065" Properties=species:S:1:pos:R:3 comment="Hf2GeB2Ru5 | Alexandria via LeMat-Bulk | GGA-PBE | optimized geometry" volume_a3_per_fu=134 dos_ef_per_ev_cell=7.2 final_energy_ev_per_atom=-9.12 formation_energy_ev_per_atom=-0.6895 pbc="T T T"
Hf 1.639 3.039 0.000
Hf 3.039 7.717 0.000
Hf 6.317 1.639 0.000
Hf 7.717 6.317 0.000
Ge 0.000 0.000 0.000
Ge 4.678 4.678 0.000
B 1.159 5.837 0.000
B 3.519 1.159 0.000
B 5.837 8.197 0.000
B 8.197 3.519 0.000
Ru 0.000 4.678 1.532
Ru 0.653 7.353 1.532
Ru 2.003 0.653 1.532
Ru 2.675 5.331 1.532
Ru 4.025 2.675 1.532
Ru 4.678 0.000 1.532
Ru 5.331 6.681 1.532
Ru 6.681 4.025 1.532
Ru 7.353 8.703 1.532
Ru 8.703 2.003 1.532



3.
5
Lattice="4.511 0.000 0.000 0.000 4.511 0.000 0.000 0.000 5.511" Properties=species:S:1:pos:R:3 comment="HfGeB2Sb | Alexandria via LeMat-Bulk | GGA-PBE | optimized geometry" volume_a3_per_fu=112 dos_ef_per_ev_cell=3.5 e_form_raw_ev_per_atom=1.317 final_energy_ev_per_atom=-5.09 pbc="T T T"
Hf 0.000 0.000 0.000
Ge 2.255 2.255 2.756
B 0.000 2.255 0.000
B 2.255 0.000 0.000
Sb 0.000 0.000 2.756



4.
5
Lattice="4.242 0.000 0.000 0.000 4.242 0.000 0.000 0.000 4.242" Properties=species:S:1:pos:R:3 comment="HgGeB3 | Alexandria via LeMat-Bulk | GGA-PBE | optimized geometry" volume_a3_per_fu=76 e_above_lowest_polymorph_mev_per_atom=0.0 dos_ef_per_ev_cell=2.9 final_energy_ev_per_atom=-3.14 formation_energy_ev_per_atom=1.8467 pbc="T T T"
Hg 0.000 0.000 0.000
Ge 2.121 2.121 2.121
B 0.000 2.121 2.121
B 2.121 0.000 2.121
B 2.121 2.121 0.000